Entry 1:
{
  "formula": "CeNd3Th4S8",
  "functional": "PBE-GGA",
  "state": "relaxed",
  "cell": [[4.0209, 2.3215, 6.6992], [-4.0209, 2.3215, 6.6992], [0.0000, -4.6429, 6.6992]],
  "species": ["Ce", "Nd", "Nd", "Nd", "Th", "Th", "Th", "Th", "S", "S", "S", "S", "S", "S", "S", "S"],
  "frac_coords": [[0.0000, 0.0000, 0.0000], [0.0000, 0.5000, 0.5000], [0.5000, 0.0000, 0.5000], [0.5000, 0.5000, 0.0000], [0.0000, 0.0000, 0.5000], [0.0000, 0.5000, 0.0000], [0.5000, 0.0000, 0.0000], [0.5000, 0.5000, 0.5000], [0.2491, 0.2491, 0.7505], [0.2491, 0.7505, 0.2491], [0.2501, 0.2501, 0.2501], [0.2495, 0.7509, 0.7509], [0.7505, 0.2491, 0.2491], [0.7499, 0.7499, 0.7499], [0.7509, 0.2495, 0.7509], [0.7509, 0.7509, 0.2495]],
  "volume_a3_per_cell": 375,
  "raw_formation_energy_ev_per_atom": -1.934,
  "final_energy_ha_per_atom": -0.2616,
  "n_ef_per_ev_atom": 0.662
}



Entry 2:
{
  "formula": "Ce3Nd4ThS8",
  "functional": "PBE-GGA",
  "state": "relaxed",
  "cell": [[4.0442, 2.3349, 6.6262], [-4.0442, 2.3349, 6.6262], [0.0000, -4.6698, 6.6262]],
  "species": ["Ce", "Ce", "Ce", "Nd", "Nd", "Nd", "Nd", "Th", "S", "S", "S", "S", "S", "S", "S", "S"],
  "frac_coords": [[0.0000, 0.5000, 0.5000], [0.5000, 0.0000, 0.5000], [0.5000, 0.5000, 0.0000], [0.0000, 0.0000, 0.5000], [0.0000, 0.5000, 0.0000], [0.5000, 0.0000, 0.0000], [0.5000, 0.5000, 0.5000], [0.0000, 0.0000, 0.0000], [0.2495, 0.2495, 0.7487], [0.2495, 0.7487, 0.2495], [0.2511, 0.2511, 0.2511], [0.2513, 0.7505, 0.7505], [0.7487, 0.2495, 0.2495], [0.7489, 0.7489, 0.7489], [0.7505, 0.2513, 0.7505], [0.7505, 0.7505, 0.2513]],
  "volume_a3_per_cell": 375,
  "raw_formation_energy_ev_per_atom": -2.012,
  "final_energy_ha_per_atom": -0.2515,
  "n_ef_per_ev_atom": 1.184
}



Entry 3:
{
  "formula": "Ce2NdTh3S6",
  "functional": "PBE-GGA",
  "state": "relaxed",
  "cell": [[3.4896, -6.0419, 0.0000], [3.4896, 6.0419, 0.0000], [-2.3242, 0.0000, 6.6179]],
  "species": ["Ce", "Ce", "Nd", "Th", "Th", "Th", "S", "S", "S", "S", "S", "S"],
  "frac_coords": [[0.1668, 0.8332, 0.0000], [0.8332, 0.1668, 0.0000], [0.5000, 0.5000, 0.0000], [0.0000, 0.0000, 0.5000], [0.3348, 0.6652, 0.5000], [0.6652, 0.3348, 0.5000], [0.0821, 0.4172, 0.7519], [0.2469, 0.2469, 0.2467], [0.4172, 0.0821, 0.7519], [0.5828, 0.9179, 0.2481], [0.7531, 0.7531, 0.7533], [0.9179, 0.5828, 0.2481]],
  "volume_a3_per_cell": 279,
  "raw_formation_energy_ev_per_atom": -1.944,
  "final_energy_ha_per_atom": -0.2664,
  "n_ef_per_ev_atom": 1.081
}